# BaSiOs2

BaSiOs2 after structural relaxation (GGA-PBEsol, the Alexandria database).

Properties
**E_form (uncorrected)**: 1.306 eV per atom

The structure in CIF format:
```
data_BaSiOs2
_symmetry_space_group_name_H-M 'I -4 m 2'
_symmetry_Int_Tables_number 119
_symmetry_space_group_name_Hall 'I -4 -2'
_cell_length_a 4.561
_cell_length_b 4.561
_cell_length_c 7.093
_cell_angle_alpha 90.00
_cell_angle_beta 90.00
_cell_angle_gamma 90.00
loop_
_atom_site_label
_atom_site_type_symbol
_atom_site_fract_x
_atom_site_fract_y
_atom_site_fract_z
Ba1 Ba 0.000 0.000 0.000
Si1 Si 0.000 0.500 0.750
Os1 Os 0.000 0.000 0.500
Os2 Os 0.000 0.500 0.250
```


# Ba2SiOs

Ba2SiOs after structural relaxation (GGA-PBEsol, the Alexandria database).

Properties
**E_form (uncorrected)**: 0.001 eV per atom

The structure in CIF format:
```
data_Ba2SiOs
_symmetry_space_group_name_H-M 'A m m 2'
_symmetry_Int_Tables_number 38
_cell_length_a 4.184
_cell_length_b 4.870
_cell_length_c 11.749
_cell_angle_alpha 90.00
_cell_angle_beta 90.00
_cell_angle_gamma 90.00
loop_
_symmetry_equiv_pos_as_xyz
'x,y,z'
'-x,-y,z'
'-x,y,z'
'x,-y,z'
'x,y+1/2,z+1/2'
'-x,-y+1/2,z+1/2'
'-x,y+1/2,z+1/2'
'x,-y+1/2,z+1/2'
loop_
_atom_site_label
_atom_site_type_symbol
_atom_site_fract_x
_atom_site_fract_y
_atom_site_fract_z
Ba1 Ba 0.000 0.000 0.000
Ba2 Ba 0.500 0.000 0.288
Si1 Si 0.500 0.000 0.598
Os1 Os 0.000 0.000 0.688
```


# Ba4SiOs

Ba4SiOs after structural relaxation (GGA-PBEsol, the Alexandria database).

Properties
**E_form (uncorrected)**: 1.292 eV per atom

The structure in CIF format:
```
data_Ba4SiOs
_symmetry_space_group_name_H-M 'F -4 3 m'
_symmetry_Int_Tables_number 216
_symmetry_space_group_name_Hall 'F -4 2 3'
_cell_length_a 9.258
_cell_length_b 9.258
_cell_length_c 9.258
_cell_angle_alpha 90.00
_cell_angle_beta 90.00
_cell_angle_gamma 90.00
loop_
_atom_site_label
_atom_site_type_symbol
_atom_site_fract_x
_atom_site_fract_y
_atom_site_fract_z
Ba1 Ba 0.125 0.125 0.125
Si1 Si 0.250 0.250 0.750
Os1 Os 0.000 0.000 0.500
```


# Ba2SrOs

Ba2SrOs after structural relaxation (GGA-PBEsol, the Alexandria database).

Properties
**ΔE to the lowest computed polymorph**: 0 meV/atom

The structure in CIF format:
```
data_Ba2SrOs
_symmetry_space_group_name_H-M 'C m m 2'
_symmetry_Int_Tables_number 35
_cell_length_a 5.222
_cell_length_b 5.230
_cell_length_c 10.712
_cell_angle_alpha 90.00
_cell_angle_beta 90.00
_cell_angle_gamma 90.00
loop_
_symmetry_equiv_pos_as_xyz
'x,y,z'
'-x,-y,z'
'-x,y,z'
'x,-y,z'
'x+1/2,y+1/2,z'
'-x+1/2,-y+1/2,z'
'-x+1/2,y+1/2,z'
'x+1/2,-y+1/2,z'
loop_
_atom_site_label
_atom_site_type_symbol
_atom_site_fract_x
_atom_site_fract_y
_atom_site_fract_z
Ba1 Ba 0.000 0.000 0.000
Ba2 Ba 0.000 0.500 0.340
Sr1 Sr 0.000 0.500 0.668
Os1 Os 0.000 0.000 0.507
```


no.,calculated volume (A^3/atom)
1,18.45
2,29.92
3,33.06
4,36.56